# 1
A geometry-optimized NaZnCu2Cl structure, computed with PBE.

As for the volume: 25.56 Å³ per atom. The total energy comes out at -7.929 eV/f.u. The value obtained for the total magnetization is 0.000 μB/f.u. The uncorrected formation energy comes out at 0.941 eV per atom. The value obtained for the density of states at the Fermi level is 0.588 states/eV/atom.

a b c (Å): 4.952 5.212 4.952
angles (deg): 90.00 90.00 90.00
Positions (direct):
1 Na 0.000 0.000 0.000
2 Cu 0.000 0.000 0.500
3 Cu 0.500 0.000 0.000
4 Cl 0.500 0.500 0.500
5 Zn 0.000 0.500 0.000



# 2
A geometry-optimized NaZn2CuCl6 structure, computed with PBE.

As for the volume: 26.02 Å³ per atom. The total energy comes out at -30.167 eV/f.u. The value obtained for the total magnetization is 0.074 μB/f.u. The uncorrected formation energy comes out at -1.112 eV per atom. The value obtained for the density of states at the Fermi level is 0.000 states/eV/atom.

a b c (Å): 6.923 8.994 8.994
angles (deg): 86.24 74.59 74.59
Positions (direct):
1 Zn 0.713 0.228 0.386
2 Cl 0.665 0.799 0.959
3 Na 0.250 0.894 0.106
4 Cl 0.489 0.433 0.303
5 Cl 0.511 0.567 0.697
6 Cu 0.750 0.766 0.234
7 Cl 0.335 0.201 0.041
8 Cl 0.428 0.859 0.372
9 Cl 0.835 0.041 0.201
10 Cl 0.165 0.959 0.799
11 Cl 0.072 0.628 0.141
12 Zn 0.213 0.386 0.228
13 Zn 0.787 0.614 0.772
14 Cl 0.989 0.303 0.433
15 Cu 0.250 0.234 0.766
16 Cl 0.011 0.697 0.567
17 Cl 0.572 0.141 0.628
18 Na 0.750 0.106 0.894
19 Zn 0.287 0.772 0.614
20 Cl 0.928 0.372 0.859



# 3
A geometry-optimized NaZrCuCl6 structure, computed with PBE.

As for the volume: 25.42 Å³ per atom. The total energy comes out at -38.133 eV/f.u. The value obtained for the total magnetization is 0.121 μB/f.u. The uncorrected formation energy comes out at -1.454 eV per atom.

a b c (Å): 6.477 6.477 12.596
angles (deg): 90.00 90.00 120.00
Positions (direct):
1 Na 0.000 0.000 0.000
2 Cl 0.993 0.354 0.136
3 Cl 0.354 0.361 0.864
4 Cl 0.646 0.639 0.136
5 Cu 0.333 0.667 0.250
6 Cl 0.361 0.354 0.364
7 Cl 0.007 0.646 0.864
8 Cl 0.007 0.361 0.636
9 Cl 0.354 0.993 0.636
10 Cl 0.993 0.639 0.364
11 Zr 0.333 0.667 0.750
12 Cl 0.361 0.007 0.136
13 Zr 0.667 0.333 0.250
14 Cl 0.646 0.007 0.364
15 Cl 0.639 0.646 0.636
16 Cu 0.667 0.333 0.750
17 Na 0.000 0.000 0.500
18 Cl 0.639 0.993 0.864



Among the records above, which one has the lowest uncorrected formation energy? NaZrCuCl6



What is the uncorrected formation energy in the second record? -1.112 eV per atom